1.
TlInGa2Co (GGA-PBE, relaxed); energy relative to the lowest polymorph listed for this composition = 0.0958 eV per atom; DFT formation energy = 30 kJ/mol of formula units; theoretical density = 7.8 g cm⁻³; space group = P4/mmm, No. 123; DFT total energy = -17.96 eV/cell
1.0
4.652 0.000 0.000
0.000 4.652 0.000
0.000 0.000 5.121
Tl In Ga Co
1 1 2 1
Direct
0.000 0.000 0.000
0.500 0.500 0.000
0.000 0.500 0.500
0.500 0.000 0.500
0.000 0.000 0.500



2.
TlInGa2Co (GGA-PBE, relaxed); energy relative to the lowest polymorph listed for this composition = 0.0000 eV per atom; DFT formation energy = -17 kJ/mol of formula units; theoretical density = 7.9 g cm⁻³; space group = P4/mmm, No. 123; DFT total energy = -18.44 eV/cell
1.0
4.661 0.000 0.000
0.000 4.661 0.000
0.000 0.000 5.025
Tl In Ga Co
1 1 2 1
Direct
0.000 0.000 0.000
0.500 0.500 0.000
0.000 0.500 0.500
0.500 0.000 0.500
0.500 0.500 0.500



3.
ZnInGa2Co (GGA-PBE, relaxed); DFT formation energy = 11 kJ/mol of formula units; theoretical density = 6.3 g cm⁻³; space group = P4/mmm, No. 123; DFT total energy = -17.06 eV/cell
1.0
4.584 0.000 0.000
0.000 4.584 0.000
0.000 0.000 4.750
Zn In Ga Co
1 1 2 1
Direct
0.000 0.000 0.000
0.500 0.500 0.000
0.000 0.500 0.500
0.500 0.000 0.500
0.000 0.000 0.500



4.
Ga4CoIr5 (GGA-PBE, relaxed); DFT formation energy = -263 kJ/mol of formula units; theoretical density = 15.4 g cm⁻³; space group = P4/mmm, No. 123; DFT total energy = -66.24 eV/cell
1.0
3.031 0.000 0.000
0.000 3.031 0.000
0.000 0.000 15.295
Ga Co Ir
4 1 5
Direct
0.000 0.000 0.101
0.000 0.000 0.305
0.000 0.000 0.695
0.000 0.000 0.899
0.000 0.000 0.500
0.500 0.500 0.000
0.500 0.500 0.201
0.500 0.500 0.401
0.500 0.500 0.599
0.500 0.500 0.799



5.
Ga6CoIr5 (GGA-PBE, relaxed); DFT formation energy = -428 kJ/mol of formula units; theoretical density = 14.2 g cm⁻³; space group = P2/m, No. 10; DFT total energy = -74.01 eV/cell
1.0
4.312 0.000 0.000
0.000 6.013 0.000
-2.148 0.000 6.474
Ga Co Ir
6 1 5
Direct
0.000 0.241 0.000
0.000 0.759 0.000
0.337 0.245 0.674
0.337 0.755 0.674
0.663 0.245 0.326
0.663 0.755 0.326
0.500 0.000 0.000
0.166 0.000 0.333
0.168 0.500 0.336
0.500 0.500 0.000
0.832 0.500 0.664
0.834 0.000 0.667



6.
Ga5Co4Ir (GGA-PBE, relaxed); DFT formation energy = -288 kJ/mol of formula units; theoretical density = 10.3 g cm⁻³; space group = P4/mmm, No. 123; DFT total energy = -55.41 eV/cell
1.0
2.939 0.000 0.000
0.000 2.939 0.000
0.000 0.000 14.432
Ga Co Ir
5 4 1
Direct
0.000 0.000 0.000
0.000 0.000 0.195
0.000 0.000 0.388
0.000 0.000 0.612
0.000 0.000 0.805
0.500 0.500 0.098
0.500 0.500 0.293
0.500 0.500 0.707
0.500 0.500 0.902
0.500 0.500 0.500